Computed, not measured: Sr2B5ClO9 at its PBEsol-relaxed geometry at the SCAN level of DFT.

Values from the calculation:
The density of states at the Fermi level is 0.00 states/eV/f.u. The formation energy from raw total energies is -2.9033 eV/atom.

a b c (Å): 11.3206 11.4136 6.4994
angles (deg): 90.00 90.00 90.00
Space group Pnn2 (No. 34)
Asymmetric unit:
Sr 0.0458 0.2479 0.0000 [4 per cell]
Sr 0.2422 0.4730 0.3359 [4 per cell]
B 0.0052 0.7498 0.4648 [4 per cell]
B 0.1767 0.7276 0.6937 [4 per cell]
B 0.2059 0.8119 0.3404 [4 per cell]
B 0.2165 0.2057 0.5231 [4 per cell]
B 0.2365 0.0355 0.2994 [4 per cell]
Cl 0.0000 0.0000 0.9015 [2 per cell]
Cl 0.0000 0.5000 0.1488 [2 per cell]
O 0.0479 0.7196 0.6534 [4 per cell]
O 0.0782 0.7878 0.3104 [4 per cell]
O 0.1125 0.2620 0.4176 [4 per cell]
O 0.1828 0.7558 0.9123 [4 per cell]
O 0.2103 0.0754 0.4921 [4 per cell]
O 0.2211 0.2198 0.7449 [4 per cell]
O 0.2330 0.6136 0.6447 [4 per cell]
O 0.2329 0.8173 0.5624 [4 per cell]
O 0.2356 0.9220 0.2368 [4 per cell]